Crystalline NaPdSe2Br at its relaxed geometry, computed with GGA-PBEsol.

The uncorrected formation energy is 0.81 eV per atom.

The space group is P4/mmm (No. 123) and the conventional cell measures 5.0094, 5.0094 and 5.0642 Å, with angles of 90.00, 90.00 and 90.00 degrees. Symmetry generates all atoms from Na at (0.0000, 0.0000, 0.0000), Pd at (0.5000, 0.5000, 0.5000), Se at (0.0000, 0.5000, 0.0000) and Br at (0.0000, 0.0000, 0.5000).